1.
! PrEuPtAu PBE relaxed; values from VASP
&SYSTEM
  ibrav = 0, nat = 4, ntyp = 4
/
ATOMIC_SPECIES
Eu 151.96 Eu.upf
Pr 140.91 Pr.upf
Au 196.97 Au.upf
Pt 195.08 Pt.upf
CELL_PARAMETERS angstrom
5.189 0.000 0.000
2.595 4.494 0.000
2.595 1.498 4.237
ATOMIC_POSITIONS crystal
Eu 0.000 0.000 0.000
Pr 0.500 0.500 0.500
Au 0.750 0.750 0.750
Pt 0.250 0.250 0.250
! energy relative to the elements = -0.8654 eV/atom
! total moment = 7.08 μB/f.u.
! calculated volume = 24.70 Å³ per atom

=====

2.
! PrEuSiAu PBE relaxed; values from VASP
&SYSTEM
  ibrav = 0, nat = 4, ntyp = 4
/
ATOMIC_SPECIES
Eu 151.96 Eu.upf
Pr 140.91 Pr.upf
Si 28.09 Si.upf
Au 196.97 Au.upf
CELL_PARAMETERS angstrom
-5.218 0.044 -0.619
-2.086 -0.706 -4.771
-2.550 -4.456 -1.119
ATOMIC_POSITIONS crystal
Eu 0.000 0.000 0.000
Pr 0.500 0.500 0.500
Si 0.750 0.750 0.750
Au 0.250 0.250 0.250
! total moment = 7.19 μB/f.u.
! uncorrected formation energy = -0.62 eV/atom
! calculated volume = 25.65 Å³ per atom

=====

3.
! PrEuTlAu PBE relaxed; values from VASP
&SYSTEM
  ibrav = 0, nat = 4, ntyp = 4
/
ATOMIC_SPECIES
Eu 151.96 Eu.upf
Pr 140.91 Pr.upf
Tl 204.38 Tl.upf
Au 196.97 Au.upf
CELL_PARAMETERS angstrom
-1.622 -4.043 -3.264
3.162 -1.596 -4.133
2.505 -4.829 0.197
ATOMIC_POSITIONS crystal
Eu 0.500 0.500 0.500
Pr 0.000 0.000 0.000
Tl 0.750 0.750 0.750
Au 0.250 0.250 0.250
! energy relative to the elements = -0.5429 eV/atom
! total moment = 6.91 μB/f.u.
! calculated volume = 28.51 Å³ per atom

=====

4.
! EuPtAu4 PBE relaxed; values from VASP
&SYSTEM
  ibrav = 0, nat = 6, ntyp = 3
/
ATOMIC_SPECIES
Eu 151.96 Eu.upf
Au 196.97 Au.upf
Pt 195.08 Pt.upf
CELL_PARAMETERS angstrom
-3.157 -2.623 -3.731
-0.672 -5.497 0.310
-4.901 -2.114 1.510
ATOMIC_POSITIONS crystal
Eu 0.000 0.000 0.000
Au 0.625 0.625 0.126
Au 0.625 0.126 0.625
Au 0.625 0.625 0.625
Au 0.126 0.625 0.625
Pt 0.250 0.250 0.250
! energy relative to the elements = -0.3668 eV/atom
! total moment = 6.86 μB/f.u.
! calculated volume = 20.11 Å³ per atom

=====

5.
! EuPt4Au PBE relaxed; values from VASP
&SYSTEM
  ibrav = 0, nat = 6, ntyp = 3
/
ATOMIC_SPECIES
Eu 151.96 Eu.upf
Au 196.97 Au.upf
Pt 195.08 Pt.upf
CELL_PARAMETERS angstrom
5.396 0.000 0.000
2.698 4.673 0.000
2.698 1.558 4.406
ATOMIC_POSITIONS crystal
Eu 0.250 0.250 0.250
Au 0.000 0.000 0.000
Pt 0.625 0.625 0.124
Pt 0.625 0.124 0.625
Pt 0.625 0.625 0.625
Pt 0.124 0.625 0.625
! energy relative to the elements = -0.5268 eV/atom
! total moment = 6.46 μB/f.u.
! calculated volume = 18.52 Å³ per atom

=====

6.
! EuSnPtAu PBE relaxed; values from VASP
&SYSTEM
  ibrav = 0, nat = 4, ntyp = 4
/
ATOMIC_SPECIES
Eu 151.96 Eu.upf
Au 196.97 Au.upf
Sn 118.71 Sn.upf
Pt 195.08 Pt.upf
CELL_PARAMETERS angstrom
-0.367 -0.773 4.908
-2.693 -3.820 1.725
2.276 -3.912 2.082
ATOMIC_POSITIONS crystal
Eu 0.500 0.500 0.500
Au 0.750 0.750 0.750
Sn 0.000 0.000 0.000
Pt 0.250 0.250 0.250
! energy relative to the elements = -0.5978 eV/atom
! total moment = 6.83 μB/f.u.
! calculated volume = 21.86 Å³ per atom

=====

7.
! SrEuPtAu PBE relaxed; values from VASP
&SYSTEM
  ibrav = 0, nat = 4, ntyp = 4
/
ATOMIC_SPECIES
Eu 151.96 Eu.upf
Sr 87.62 Sr.upf
Au 196.97 Au.upf
Pt 195.08 Pt.upf
CELL_PARAMETERS angstrom
-3.825 2.710 2.344
-5.011 -1.318 -0.792
-2.775 -2.194 3.867
ATOMIC_POSITIONS crystal
Eu 0.000 0.000 0.000
Sr 0.500 0.500 0.500
Au 0.250 0.250 0.250
Pt 0.750 0.750 0.750
! energy relative to the elements = -0.7919 eV/atom
! total moment = 7.26 μB/f.u.
! calculated volume = 25.45 Å³ per atom

=====

8.
! EuTlPtAu PBE relaxed; values from VASP
&SYSTEM
  ibrav = 0, nat = 4, ntyp = 4
/
ATOMIC_SPECIES
Eu 151.96 Eu.upf
Tl 204.38 Tl.upf
Au 196.97 Au.upf
Pt 195.08 Pt.upf
CELL_PARAMETERS angstrom
5.044 0.000 0.000
2.522 4.368 0.000
2.522 1.456 4.119
ATOMIC_POSITIONS crystal
Eu 0.500 0.500 0.500
Tl 0.000 0.000 0.000
Au 0.250 0.250 0.250
Pt 0.750 0.750 0.750
! energy relative to the elements = -0.4698 eV/atom
! total moment = 6.86 μB/f.u.
! calculated volume = 22.69 Å³ per atom

=====

9.
! EuTmPtAu PBE relaxed; values from VASP
&SYSTEM
  ibrav = 0, nat = 4, ntyp = 4
/
ATOMIC_SPECIES
Eu 151.96 Eu.upf
Tm 168.93 Tm.upf
Au 196.97 Au.upf
Pt 195.08 Pt.upf
CELL_PARAMETERS angstrom
-0.338 4.765 1.640
-3.947 2.855 -1.333
-3.488 1.248 3.433
ATOMIC_POSITIONS crystal
Eu 0.500 0.500 0.500
Tm 0.000 0.000 0.000
Au 0.250 0.250 0.250
Pt 0.750 0.750 0.750
! energy relative to the elements = -0.9079 eV/atom
! total moment = 7.04 μB/f.u.
! calculated volume = 22.78 Å³ per atom

=====

10.
! Eu2PuAu PBE relaxed; values from VASP
&SYSTEM
  ibrav = 0, nat = 4, ntyp = 3
/
ATOMIC_SPECIES
Eu 151.96 Eu.upf
Au 196.97 Au.upf
Pu 244.00 Pu.upf
CELL_PARAMETERS angstrom
5.425 0.000 0.000
2.713 4.698 0.000
2.713 1.566 4.440
ATOMIC_POSITIONS crystal
Eu 0.750 0.750 0.749
Eu 0.250 0.250 0.251
Au 0.500 0.500 0.500
Pu 0.000 0.000 0.000
! energy relative to the elements = 0.1090 eV/atom
! total moment = 7.58 μB/f.u.
! offset from the most stable computed form = 0.3432 eV/atom
! calculated volume = 28.29 Å³ per atom

=====

11.
! Eu2PuAu PBE relaxed; values from VASP
&SYSTEM
  ibrav = 0, nat = 4, ntyp = 3
/
ATOMIC_SPECIES
Eu 151.96 Eu.upf
Au 196.97 Au.upf
Pu 244.00 Pu.upf
CELL_PARAMETERS angstrom
-0.350 0.174 3.691
3.490 -1.204 0.387
2.892 8.341 -0.118
ATOMIC_POSITIONS crystal
Eu 0.000 0.000 0.792
Eu 0.000 0.000 0.208
Au 0.500 0.500 0.000
Pu 0.500 0.500 0.500
! energy relative to the elements = -0.2342 eV/atom
! total moment = 21.38 μB/f.u.
! offset from the most stable computed form = 0.0000 eV/atom
! calculated volume = 30.41 Å³ per atom

=====

12.
! EuPu2Au PBE relaxed; values from VASP
&SYSTEM
  ibrav = 0, nat = 4, ntyp = 3
/
ATOMIC_SPECIES
Eu 151.96 Eu.upf
Au 196.97 Au.upf
Pu 244.00 Pu.upf
CELL_PARAMETERS angstrom
3.674 0.000 0.000
1.837 3.182 0.000
1.837 1.061 10.482
ATOMIC_POSITIONS crystal
Eu 0.500 0.500 0.500
Au 0.000 0.000 0.000
Pu 0.264 0.264 0.208
Pu 0.736 0.736 0.792
! energy relative to the elements = 0.0945 eV/atom
! total moment = 20.02 μB/f.u.
! calculated volume = 30.64 Å³ per atom

=====

13.
! EuPuSnAu PBE relaxed; values from VASP
&SYSTEM
  ibrav = 0, nat = 4, ntyp = 4
/
ATOMIC_SPECIES
Eu 151.96 Eu.upf
Au 196.97 Au.upf
Sn 118.71 Sn.upf
Pu 244.00 Pu.upf
CELL_PARAMETERS angstrom
5.361 0.000 0.000
2.680 4.643 0.000
2.680 1.548 4.377
ATOMIC_POSITIONS crystal
Eu 0.000 0.000 0.000
Au 0.750 0.750 0.750
Sn 0.250 0.250 0.250
Pu 0.500 0.500 0.500
! energy relative to the elements = -0.4841 eV/atom
! total moment = 1.51 μB/f.u.
! calculated volume = 27.24 Å³ per atom

=====

14.
! EuPuTlAu PBE relaxed; values from VASP
&SYSTEM
  ibrav = 0, nat = 4, ntyp = 4
/
ATOMIC_SPECIES
Eu 151.96 Eu.upf
Tl 204.38 Tl.upf
Au 196.97 Au.upf
Pu 244.00 Pu.upf
CELL_PARAMETERS angstrom
-0.988 4.563 2.664
-4.953 2.087 0.012
-2.946 -0.096 4.495
ATOMIC_POSITIONS crystal
Eu 0.750 0.750 0.750
Tl 0.500 0.500 0.500
Au 0.000 0.000 0.000
Pu 0.250 0.250 0.250
! energy relative to the elements = -0.3079 eV/atom
! total moment = 1.28 μB/f.u.
! calculated volume = 27.45 Å³ per atom

=====

15.
! RbEu3Au PBE relaxed; values from VASP
&SYSTEM
  ibrav = 0, nat = 5, ntyp = 3
/
ATOMIC_SPECIES
Eu 151.96 Eu.upf
Au 196.97 Au.upf
Rb 85.47 Rb.upf
CELL_PARAMETERS angstrom
-2.703 -0.807 -5.453
-0.337 -6.038 1.061
-5.502 0.766 2.614
ATOMIC_POSITIONS crystal
Eu 0.000 0.500 0.000
Eu 0.000 0.000 0.500
Eu 0.500 0.000 0.000
Au 0.000 0.000 0.000
Rb 0.500 0.500 0.500
! energy relative to the elements = -0.2148 eV/atom
! total moment = 22.02 μB/f.u.
! calculated volume = 46.28 Å³ per atom

=====

16.
! Rb2EuAu PBE relaxed; values from VASP
&SYSTEM
  ibrav = 0, nat = 4, ntyp = 3
/
ATOMIC_SPECIES
Eu 151.96 Eu.upf
Au 196.97 Au.upf
Rb 85.47 Rb.upf
CELL_PARAMETERS angstrom
-2.232 -3.460 1.502
-1.604 -2.960 -2.807
9.753 -8.900 0.389
ATOMIC_POSITIONS crystal
Eu 0.000 0.000 0.000
Au 0.500 0.500 0.500
Rb 0.108 0.108 0.675
Rb 0.892 0.892 0.325
! energy relative to the elements = 0.0549 eV/atom
! total moment = 7.68 μB/f.u.
! calculated volume = 53.92 Å³ per atom

=====

17.
! RbEuAu2 PBE relaxed; values from VASP
&SYSTEM
  ibrav = 0, nat = 4, ntyp = 3
/
ATOMIC_SPECIES
Eu 151.96 Eu.upf
Au 196.97 Au.upf
Rb 85.47 Rb.upf
CELL_PARAMETERS angstrom
-4.237 -2.972 -0.436
0.331 -5.125 0.777
-2.448 -1.905 5.840
ATOMIC_POSITIONS crystal
Eu 0.500 0.500 0.500
Au 0.791 0.791 0.626
Au 0.209 0.209 0.374
Rb 0.000 0.000 0.000
! energy relative to the elements = -0.4188 eV/atom
! total moment = 7.22 μB/f.u.
! offset from the most stable computed form = 0.1259 eV/atom
! calculated volume = 34.42 Å³ per atom

=====

18.
! RbEuAu2 PBE relaxed; values from VASP
&SYSTEM
  ibrav = 0, nat = 4, ntyp = 3
/
ATOMIC_SPECIES
Eu 151.96 Eu.upf
Au 196.97 Au.upf
Rb 85.47 Rb.upf
CELL_PARAMETERS angstrom
5.513 0.000 0.000
2.757 4.774 0.000
2.757 1.591 4.501
ATOMIC_POSITIONS crystal
Eu 0.500 0.500 0.500
Au 0.250 0.250 0.250
Au 0.750 0.750 0.750
Rb 0.000 0.000 0.000
! energy relative to the elements = -0.3919 eV/atom
! total moment = 7.47 μB/f.u.
! offset from the most stable computed form = 0.1528 eV/atom
! calculated volume = 29.62 Å³ per atom

=====

19.
! RbEuAu2 PBE relaxed; values from VASP
&SYSTEM
  ibrav = 0, nat = 4, ntyp = 3
/
ATOMIC_SPECIES
Eu 151.96 Eu.upf
Au 196.97 Au.upf
Rb 85.47 Rb.upf
CELL_PARAMETERS angstrom
3.921 0.000 0.000
0.000 3.921 0.000
0.000 0.000 8.151
ATOMIC_POSITIONS crystal
Eu 0.500 0.500 0.000
Au 0.000 0.000 0.809
Au 0.000 0.000 0.191
Rb 0.500 0.500 0.500
! energy relative to the elements = -0.5447 eV/atom
! total moment = 7.22 μB/f.u.
! offset from the most stable computed form = 0.0000 eV/atom
! calculated volume = 31.33 Å³ per atom

=====

20.
! RbEuAu2 PBE relaxed; values from VASP
&SYSTEM
  ibrav = 0, nat = 4, ntyp = 3
/
ATOMIC_SPECIES
Eu 151.96 Eu.upf
Au 196.97 Au.upf
Rb 85.47 Rb.upf
CELL_PARAMETERS angstrom
-1.850 -1.237 -2.971
1.545 -5.292 1.242
-4.649 -0.618 3.152
ATOMIC_POSITIONS crystal
Eu 0.500 0.500 0.500
Au 0.000 0.000 0.500
Au 0.000 0.500 0.000
Rb 0.500 0.000 0.000
! energy relative to the elements = -0.4185 eV/atom
! total moment = 7.38 μB/f.u.
! offset from the most stable computed form = 0.1262 eV/atom
! calculated volume = 29.63 Å³ per atom